# 1
Li2InAg2 | PBE | relaxed

The structure in extended XYZ format:
```
5
Lattice="3.878 0.000 0.000 0.000 3.878 0.000 1.939 1.939 6.576" Properties=species:S:1:pos:R:3 pbc="T T T"
Li 3.878 1.939 3.288
Li 1.939 3.878 3.288
Ag 1.939 1.939 1.393
Ag 3.878 3.878 5.183
In 0.000 0.000 0.000
```

***

# 2
Li2InAg3 | PBE | relaxed

The structure in extended XYZ format:
```
12
Lattice="4.436 5.480 -2.241 -5.902 -1.504 4.199 3.836 -1.055 5.014" Properties=species:S:1:pos:R:3 pbc="T T T"
Li 0.000 0.000 0.000
Li 1.918 -0.527 2.507
Li -0.549 0.290 4.566
Li 2.918 2.632 2.406
In -2.412 0.854 2.025
In 0.945 3.122 -0.066
Ag 5.571 3.584 2.460
Ag 0.311 1.701 2.344
Ag -3.202 -0.662 4.512
Ag 3.803 4.070 0.148
Ag -1.434 -1.149 6.824
Ag 2.059 1.220 4.628
```

***

For each record above, in turn, the calculated ρ values are 5.784; 7.161 g/cm³.
For each record above, in turn, the calculated energy above the lowest structure with this stoichiometry values are 0.218; 0.000 eV/atom.
For each record above, in turn, the calculated VASP energy values are -2.466; -2.705 eV per atom.